(1)
A plane-wave DFT calculation with GGA-PBE was carried out for an optimized crystal structure of YZrGa6.

Formation energy from the elements (eV per atom): -0.50
SG: P4/mmm
N(E_F) (states/eV/cell): 4.24

```
YZrGa6
1.0
4.2037 0.0000 0.0000
0.0000 4.2037 0.0000
0.0000 0.0000 8.4309
Y Zr Ga
1 1 6
Direct
0.0000 0.0000 0.0000 Y
0.0000 0.0000 0.5000 Zr
0.0000 0.5000 0.2572 Ga
0.0000 0.5000 0.7428 Ga
0.5000 0.0000 0.2572 Ga
0.5000 0.0000 0.7428 Ga
0.5000 0.5000 0.0000 Ga
0.5000 0.5000 0.5000 Ga
```

=====

(2)
A plane-wave DFT calculation with GGA-PBE was carried out for an optimized crystal structure of Mn2AsCl.

Polymorph energy (0 for the lowest one) (meV per atom): 4
Energy relative to the elements, uncorrected (eV per atom): -0.1934
SG: P4mm
N(E_F) (states/eV/cell): 1.95

```
Mn2AsCl
1.0
3.2828 0.0000 0.0000
0.0000 3.2828 0.0000
0.0000 0.0000 7.2308
Mn As Cl
2 1 1
Direct
0.0000 0.0000 0.0000 Mn
0.5000 0.5000 0.2252 Mn
0.0000 0.0000 0.3605 As
0.5000 0.5000 0.8359 Cl
```

=====

(3)
A plane-wave DFT calculation with GGA-PBE was carried out for an optimized crystal structure of As2PtW.

Formation energy from the elements (eV per atom): 0.09
Polymorph energy (0 for the lowest one) (meV per atom): 51
SG: Pm
N(E_F) (states/eV/cell): 2.51

```
As2PtW
1.0
2.9042 0.0000 0.0000
0.0000 4.1289 0.0000
-0.0027 0.0000 5.5807
As Pt W
2 1 1
Direct
0.0000 0.0000 0.0000 As
0.4990 0.5000 0.6391 As
0.0002 0.0000 0.4647 Pt
0.5012 0.5000 0.1856 W
```

=====

(4)
A plane-wave DFT calculation with GGA-PBE was carried out for an optimized crystal structure of NbIn2Ir2.

Formation energy from the elements (eV per atom): -0.07
SG: P4/mbm
N(E_F) (states/eV/cell): 3.01

```
NbIn2Ir2
1.0
6.7707 0.0000 0.0000
0.0000 6.7707 0.0000
0.0000 0.0000 4.1415
Nb In Ir
2 4 4
Direct
0.0000 0.0000 0.0000 Nb
0.5000 0.5000 0.0000 Nb
0.1702 0.3298 0.5000 In
0.3298 0.8298 0.5000 In
0.6702 0.1702 0.5000 In
0.8298 0.6702 0.5000 In
0.1356 0.6356 0.0000 Ir
0.3644 0.1356 0.0000 Ir
0.6356 0.8644 0.0000 Ir
0.8644 0.3644 0.0000 Ir
```

=====

Number 1: ρ 6.67 Mg/m³. Number 2: ρ 4.69 Mg/m³. Number 3: ρ 13.12 Mg/m³. Number 4: ρ 12.37 Mg/m³.